[1]
Material: AcGe2Pd7Pb2
Method: DFT, PBE
State: optimized geometry

Calculated values
Space group   No. 12
Energy relative to the elements   -390.6 meV per atom
Calculated total energy   -5.1498 eV per atom

Cell and atoms, written as POSCAR:
```
AcGe2Pd7Pb2
1.0
-0.645 3.996 1.055
-4.122 -0.660 0.277
-0.267 -2.163 14.138
Ac Ge Pd Pb
1 2 7 2
direct
0.000 0.000 0.000
0.594 0.594 0.742
0.406 0.406 0.258
0.500 0.500 0.000
0.366 0.366 0.431
0.634 0.634 0.569
0.940 0.440 0.162
0.440 0.940 0.162
0.560 0.060 0.838
0.060 0.560 0.838
0.893 0.893 0.381
0.107 0.107 0.619
```



[2]
Material: OsC2Se
Method: DFT, PBE
State: optimized geometry

Calculated values
Space group   No. 122
Formation energy without anion corrections   1.24 eV/atom
Calculated total energy   -7.0501 eV per atom

Cell and atoms, written as POSCAR:
```
OsC2Se
1.0
4.893 0.000 0.000
0.000 4.893 0.000
2.446 2.446 4.624
C Os Se
4 2 2
direct
0.666 0.125 0.250
0.084 0.625 0.250
0.375 0.334 0.750
0.875 0.916 0.750
0.000 0.000 0.000
0.750 0.250 0.500
0.500 0.500 0.000
0.250 0.750 0.500
```